Entry 1:
KIn2GeS6 | PBE | optimized geometry

Unit cell a=8.116 b=9.296 c=9.296 alpha=86.65 beta=68.28 gamma=68.28
Site moments in Bohr magnetons follow the coordinates.
Fractional coordinates of all 20 atoms:
S 0.692 0.558 0.669  0.27
In 0.061 0.394 0.237  0.01
S 0.308 0.442 0.331  0.27
S 0.471 0.883 0.356  0.00
In 0.561 0.237 0.394  0.01
S 0.029 0.644 0.117  0.00
S 0.183 0.946 0.831  0.04
S 0.817 0.054 0.169  0.04
Ge 0.750 0.840 0.160  0.01
S 0.683 0.831 0.946  0.04
S 0.317 0.169 0.054  0.04
In 0.939 0.606 0.763  0.01
K 0.250 0.836 0.164  0.00
Ge 0.250 0.160 0.840  0.01
K 0.750 0.164 0.836  0.00
S 0.971 0.356 0.883  0.00
S 0.529 0.117 0.644  0.00
In 0.439 0.763 0.606  0.01
S 0.808 0.331 0.442  0.27
S 0.192 0.669 0.558  0.27

Summary:
- space group = C2/c (15)
- formation energy (no corrections) (eV per atom) = -0.478
- calculated volume (Å³ per cell) = 602.8

---

Entry 2:
MgAlCd2 | PBE | optimized geometry

Unit cell a=3.164 b=4.269 c=6.163 alpha=90.00 beta=90.00 gamma=90.00
Fractional coordinates of all 4 atoms:
Al 0.500 0.500 0.750
Mg 0.500 0.500 0.250
Cd 0.000 0.000 0.502
Cd 0.000 0.000 0.998

Summary:
- space group = Pmmm (47)
- energy relative to the elements (meV/atom) = 22
- calculated volume (Å³ per cell) = 83.3

---

Entry 3:
Sm2PbSe | PBE | optimized geometry

Unit cell a=4.328 b=4.328 c=7.648 alpha=73.56 beta=73.56 gamma=60.00
Fractional coordinates of all 4 atoms:
Sm 0.255 0.255 0.236
Sm 0.745 0.745 0.764
Pb 0.500 0.500 0.500
Se 0.000 0.000 0.000

Summary:
- space group = R-3m (166)
- formation energy (no corrections) (eV per atom) = -1.160
- calculated volume (Å³ per cell) = 117.3
- offset from the most stable computed form (eV per atom) = 0.025

---

Entry 4:
Ho3ScPb5 | PBE | optimized geometry

Unit cell a=6.413 b=9.431 c=9.431 alpha=120.00 beta=90.00 gamma=90.00
Fractional coordinates of all 18 atoms:
Pb 0.750 0.000 0.722
Pb 0.250 0.722 0.722
Pb 0.000 0.667 0.333
Pb 0.250 0.000 0.278
Pb 0.750 0.722 0.000
Pb 0.500 0.667 0.333
Ho 0.250 0.383 0.383
Sc 0.500 0.000 0.000
Ho 0.250 0.617 0.000
Ho 0.750 0.617 0.617
Pb 0.500 0.333 0.667
Pb 0.750 0.278 0.278
Ho 0.250 0.000 0.617
Sc 0.000 0.000 0.000
Ho 0.750 0.000 0.383
Pb 0.250 0.278 0.000
Pb 0.000 0.333 0.667
Ho 0.750 0.383 0.000

Summary:
- space group = P6_3/mcm (193)
- energy relative to the elements (meV/atom) = -394
- calculated volume (Å³ per cell) = 493.9